No. 1
A plane-wave DFT calculation with PBE-GGA was carried out for HfSiPt after structural relaxation.

## Properties
calculated density	13.21	Mg/m³
volume	16.826	Å³/atom
total magnetization	0.00	μB/f.u.
formation energy without anion corrections	-853.5	meV/atom
symmetry	Cm, No. 8

Cell lengths 9.7275, 3.9029, 5.3183 Å; angles 90.00, 90.36, 90.00 degrees
Last column: nearest neighbours and their distance in Å.
Sites, in units of the cell vectors:
Hf 0.0000 0.0000 0.0000  3 Pt 2.76-2.92, 4 Si 2.79-2.93
Hf 0.1020 0.5000 0.5014  3 Si 2.71-2.99, 4 Pt 2.76-2.94
Hf 0.5000 0.5000 0.0000  3 Pt 2.76-2.92, 4 Si 2.79-2.93
Hf 0.6020 0.0000 0.5014  3 Si 2.71-2.99, 4 Pt 2.76-2.94
Si 0.3094 0.0000 0.2167  3 Pt 2.46-2.53, 2 Si 2.65
Si 0.4092 0.5000 0.5007  2 Pt 2.43, 2 Si 2.65, 2 Hf 2.71
Si 0.8094 0.5000 0.2167  3 Pt 2.46-2.53, 2 Si 2.65
Si 0.9092 0.0000 0.5007  2 Pt 2.43, 2 Si 2.65, 2 Hf 2.71
Pt 0.2000 0.5000 0.0158  2 Si 2.46, 3 Hf 2.76
Pt 0.3031 0.0000 0.6916  3 Si 2.43-2.53
Pt 0.7000 0.0000 0.0158  2 Si 2.46, 3 Hf 2.76
Pt 0.8031 0.5000 0.6916  3 Si 2.43-2.53



No. 2
A plane-wave DFT calculation with PBE-GGA was carried out for HfSiPt after structural relaxation.

## Properties
calculated density	13.46	Mg/m³
volume	16.520	Å³/atom
total magnetization	0.00	μB/f.u.
formation energy without anion corrections	-1019.9	meV/atom
symmetry	P-6m2, No. 187

Cell lengths 4.2603, 4.2603, 3.1529 Å; angles 90.00, 90.00, 120.00 degrees
Last column: nearest neighbours and their distance in Å.
Sites, in units of the cell vectors:
Hf 0.0000 0.0000 0.0000  6 Pt 2.92, 6 Si 2.92, 2 Hf 3.15
Si 0.6667 0.3333 0.5000  3 Pt 2.46
Pt 0.3333 0.6667 0.5000  3 Si 2.46